# La2CuF, relaxed, DFT GGA-PBE
data_La2CuF
_space_group_name_H-M_alt 'I -4 2 d'
_space_group_IT_number 122
_space_group_name_Hall 'I -4 2bw'
_cell_length_a 5.893
_cell_length_b 5.893
_cell_length_c 12.976
_cell_angle_alpha 90.00
_cell_angle_beta 90.00
_cell_angle_gamma 90.00
loop_
_atom_site_label
_atom_site_type_symbol
_atom_site_fract_x
_atom_site_fract_y
_atom_site_fract_z
_atom_site_occupancy
La1 La 0.208 0.250 0.125 1
Cu1 Cu 0.000 0.000 0.500 1
F1 F 0.000 0.000 0.000 1
# - DOS(E_F) (states/eV/f.u.) = 3.1
# - calculated volume (Å³/cell) = 450.6
# - spin magnetization (μB per cell) = 0.000
# - formation energy without anion corrections (meV per atom) = -1132


# LaCu3F, relaxed, DFT GGA-PBE
data_LaCu3F
_space_group_name_H-M_alt 'P m -3 m'
_space_group_IT_number 221
_space_group_name_Hall '-P 4 2 3'
_cell_length_a 5.437
_cell_length_b 5.437
_cell_length_c 5.437
_cell_angle_alpha 90.00
_cell_angle_beta 90.00
_cell_angle_gamma 90.00
loop_
_atom_site_label
_atom_site_type_symbol
_atom_site_fract_x
_atom_site_fract_y
_atom_site_fract_z
_atom_site_occupancy
La1 La 0.000 0.000 0.000 1
Cu1 Cu 0.000 0.000 0.500 1
F1 F 0.500 0.500 0.500 1
# - DOS(E_F) (states/eV/f.u.) = 5.1
# - calculated volume (Å³/cell) = 160.7
# - spin magnetization (μB per cell) = 0.000
# - formation energy without anion corrections (meV per atom) = 984


# La2CuF, relaxed, DFT GGA-PBE
data_La2CuF
_space_group_name_H-M_alt 'R 3 m'
_space_group_IT_number 160
_space_group_name_Hall 'R 3 -2"'
_cell_length_a 3.9555
_cell_length_b 3.9555
_cell_length_c 21.1737
_cell_angle_alpha 90.00
_cell_angle_beta 90.00
_cell_angle_gamma 120.00
loop_
_atom_site_label
_atom_site_type_symbol
_atom_site_fract_x
_atom_site_fract_y
_atom_site_fract_z
_atom_site_occupancy
La1 La 0.0000 0.0000 0.0000 1
La2 La 0.0000 0.0000 0.1620 1
Cu1 Cu 0.0000 0.0000 0.5805 1
F1 F 0.0000 0.0000 0.4050 1
# - DOS(E_F) (states/eV/f.u.) = 2.6
# - calculated volume (Å³/cell) = 286.9
# - spin magnetization (μB per cell) = 0.000
# - formation energy without anion corrections (meV per atom) = -1135


# La2CuF, relaxed, DFT GGA-PBE
data_La2CuF
_space_group_name_H-M_alt 'F m -3 m'
_space_group_IT_number 225
_space_group_name_Hall '-F 4 2 3'
_cell_length_a 7.083
_cell_length_b 7.083
_cell_length_c 7.083
_cell_angle_alpha 90.00
_cell_angle_beta 90.00
_cell_angle_gamma 90.00
loop_
_atom_site_label
_atom_site_type_symbol
_atom_site_fract_x
_atom_site_fract_y
_atom_site_fract_z
_atom_site_occupancy
La1 La 0.250 0.250 0.250 1
Cu1 Cu 0.000 0.000 0.000 1
F1 F 0.000 0.000 0.500 1
# - DOS(E_F) (states/eV/f.u.) = 7.9
# - calculated volume (Å³/cell) = 355.3
# - spin magnetization (μB per cell) = 0.003
# - formation energy without anion corrections (meV per atom) = -933


# La2CuF, relaxed, DFT GGA-PBE
data_La2CuF
_space_group_name_H-M_alt 'R -3 m'
_space_group_IT_number 166
_space_group_name_Hall '-R 3 2"'
_cell_length_a 4.1352
_cell_length_b 4.1352
_cell_length_c 18.8351
_cell_angle_alpha 90.00
_cell_angle_beta 90.00
_cell_angle_gamma 120.00
loop_
_atom_site_label
_atom_site_type_symbol
_atom_site_fract_x
_atom_site_fract_y
_atom_site_fract_z
_atom_site_occupancy
La1 La 0.0000 0.0000 0.2416 1
Cu1 Cu 0.0000 0.0000 0.0000 1
F1 F 0.0000 0.0000 0.5000 1
# - DOS(E_F) (states/eV/f.u.) = 2.4
# - calculated volume (Å³/cell) = 278.9
# - spin magnetization (μB per cell) = 0.000
# - formation energy without anion corrections (meV per atom) = -1274


# La2CuF8, relaxed, DFT GGA-PBE
data_La2CuF8
_space_group_name_H-M_alt 'P -1'
_space_group_IT_number 2
_cell_length_a 3.898
_cell_length_b 5.459
_cell_length_c 8.248
_cell_angle_alpha 83.01
_cell_angle_beta 77.19
_cell_angle_gamma 78.60
loop_
_space_group_symop_operation_xyz
'x,y,z'
'-x,-y,-z'
loop_
_atom_site_label
_atom_site_type_symbol
_atom_site_fract_x
_atom_site_fract_y
_atom_site_fract_z
_atom_site_occupancy
La1 La 0.129 0.068 0.221 1
Cu1 Cu 0.500 0.500 0.500 1
F1 F 0.096 0.762 0.485 1
F2 F 0.303 0.820 0.988 1
F3 F 0.320 0.176 0.736 1
F4 F 0.498 0.656 0.699 1
# - calculated volume (Å³/cell) = 167.2
# - spin magnetization (μB per cell) = 1.052
# - formation energy without anion corrections (meV per atom) = -3361


# LiLa2CuF, relaxed, DFT GGA-PBE
data_LiLa2CuF
_space_group_name_H-M_alt 'P 4/m m m'
_space_group_IT_number 123
_space_group_name_Hall '-P 4 2'
_cell_length_a 5.210
_cell_length_b 5.210
_cell_length_c 3.795
_cell_angle_alpha 90.00
_cell_angle_beta 90.00
_cell_angle_gamma 90.00
loop_
_atom_site_label
_atom_site_type_symbol
_atom_site_fract_x
_atom_site_fract_y
_atom_site_fract_z
_atom_site_occupancy
Li1 Li 0.000 0.000 0.000 1
La1 La 0.000 0.500 0.500 1
Cu1 Cu 0.500 0.500 0.000 1
F1 F 0.000 0.000 0.500 1
# - DOS(E_F) (states/eV/f.u.) = 3.7
# - calculated volume (Å³/cell) = 103.0
# - spin magnetization (μB per cell) = 0.000
# - formation energy without anion corrections (meV per atom) = -1025


# Li4LaCu3F12, relaxed, DFT GGA-PBE
data_Li4LaCu3F12
_space_group_name_H-M_alt 'I m -3'
_space_group_IT_number 204
_space_group_name_Hall '-I 2 2 3'
_cell_length_a 7.556
_cell_length_b 7.556
_cell_length_c 7.556
_cell_angle_alpha 90.00
_cell_angle_beta 90.00
_cell_angle_gamma 90.00
loop_
_atom_site_label
_atom_site_type_symbol
_atom_site_fract_x
_atom_site_fract_y
_atom_site_fract_z
_atom_site_occupancy
Li1 Li 0.250 0.250 0.250 1
La1 La 0.000 0.000 0.000 1
Cu1 Cu 0.000 0.000 0.500 1
F1 F 0.000 0.299 0.171 1
# - DOS(E_F) (states/eV/f.u.) = 8.4
# - calculated volume (Å³/cell) = 431.3
# - spin magnetization (μB per cell) = 4.000
# - formation energy without anion corrections (meV per atom) = -2573